Record 1
A plane-wave DFT calculation with PBE-GGA was carried out for a relaxed structure of Cu3SiAu.

Values from the calculation:
Polymorph energy (0 for the lowest one) in meV per atom: 411

```
data_Cu3SiAu
_chemical_formula_sum 'Cu3 Si1 Au1'
_cell_length_a 4.370
_cell_length_b 4.370
_cell_length_c 4.370
_cell_angle_alpha 90.00
_cell_angle_beta 90.00
_cell_angle_gamma 90.00
_symmetry_space_group_name_H-M 'P m -3 m'
_symmetry_Int_Tables_number 221
_symmetry_space_group_name_Hall '-P 4 2 3'
loop_
_atom_site_label
_atom_site_fract_x
_atom_site_fract_y
_atom_site_fract_z
Cu1 0.000 0.000 0.500
Si1 0.000 0.000 0.000
Au1 0.500 0.500 0.500
```

Record 2
A plane-wave DFT calculation with PBE-GGA was carried out for a relaxed structure of Cu3SiAu.

Values from the calculation:
Polymorph energy (0 for the lowest one) in meV per atom: 0

```
data_Cu3SiAu
_chemical_formula_sum 'Cu12 Si4 Au4'
_cell_length_a 4.283
_cell_length_b 13.708
_cell_length_c 4.970
_cell_angle_alpha 90.00
_cell_angle_beta 90.00
_cell_angle_gamma 90.00
_symmetry_space_group_name_H-M 'A m a 2'
_symmetry_Int_Tables_number 40
loop_
_symmetry_equiv_pos_as_xyz
'x,y,z'
'-x,-y,z'
'-x+1/2,y,z'
'x+1/2,-y,z'
'x,y+1/2,z+1/2'
'-x,-y+1/2,z+1/2'
'-x+1/2,y+1/2,z+1/2'
'x+1/2,-y+1/2,z+1/2'
loop_
_atom_site_label
_atom_site_fract_x
_atom_site_fract_y
_atom_site_fract_z
Cu1 0.250 0.048 0.000
Cu2 0.250 0.228 0.036
Cu3 0.250 0.378 0.730
Si1 0.250 0.390 0.265
Au1 0.250 0.149 0.524
```